Record 1
DFT (PBE-GGA) results for Co6NiPt8 after structural relaxation.

The structure in extended XYZ format:
```
15
Lattice="3.5154 2.0296 5.1529 -3.5154 2.0296 5.1529 0.0000 -4.0593 5.1529" Properties=species:S:1:pos:R:3 pbc="T T T"
Co -1.0710 -1.8266 5.7104
Co -2.1174 0.0142 9.7482
Co -1.0464 1.8409 5.7104
Co 1.0464 -1.8409 9.7482
Co 2.1174 -0.0142 5.7104
Co 1.0710 1.8266 9.7482
Ni 0.0000 0.0000 0.0000
Pt -2.3912 0.3340 7.0909
Pt -1.4849 -1.9038 8.3677
Pt 0.0000 0.0000 4.1178
Pt 0.9063 -2.2378 7.0909
Pt -0.9063 2.2378 8.3677
Pt 0.0000 0.0000 11.3408
Pt 1.4848 1.9038 7.0909
Pt 2.3912 -0.3340 8.3677
```

* Fermi-level density of states: 15.4 states/eV/f.u.

***

Record 2
DFT (PBE-GGA) results for Co3Ni12Pt after structural relaxation.

The structure in extended XYZ format:
```
16
Lattice="3.5617 0.0000 0.0000 0.0000 3.5617 0.0000 0.0000 0.0000 14.1967" Properties=species:S:1:pos:R:3 pbc="T T T"
Co 0.0000 0.0000 0.0000
Co 0.0000 0.0000 3.4940
Co 0.0000 0.0000 10.7027
Ni 0.0000 1.7809 1.7377
Ni 0.0000 1.7809 5.2022
Ni 0.0000 1.7809 8.9945
Ni 0.0000 1.7809 12.4591
Ni 1.7809 0.0000 1.7377
Ni 1.7809 0.0000 5.2022
Ni 1.7809 0.0000 8.9945
Ni 1.7809 0.0000 12.4591
Ni 1.7809 1.7809 0.0000
Ni 1.7809 1.7809 3.4736
Ni 1.7809 1.7809 7.0984
Ni 1.7809 1.7809 10.7232
Pt 0.0000 0.0000 7.0984
```

* Fermi-level density of states: 23.8 states/eV/f.u.

***

Record 3
DFT (PBE-GGA) results for Co12NiPt6 after structural relaxation.

The structure in extended XYZ format:
```
19
Lattice="3.6760 2.1224 6.0137 -3.6760 2.1224 6.0137 0.0000 -4.2447 6.0137" Properties=species:S:1:pos:R:3 pbc="T T T"
Co -1.2820 -2.0243 6.0137
Co -2.3941 -0.0981 6.0137
Co 0.0000 -1.3778 4.1055
Co -1.1932 0.6889 4.1055
Co 1.2820 -2.0243 6.0137
Co -1.1121 2.1224 6.0137
Co 1.1932 0.6889 4.1054
Co -1.1932 -0.6889 13.9355
Co 2.3941 -0.0981 6.0137
Co 1.1121 2.1224 6.0137
Co 1.1932 -0.6889 13.9356
Co 0.0000 1.3778 13.9356
Ni 0.0000 0.0000 9.0205
Pt -2.0047 -1.1574 9.8739
Pt 0.0000 -2.3148 8.1671
Pt -2.0047 1.1574 8.1671
Pt 2.0047 -1.1574 9.8739
Pt 0.0000 2.3148 9.8739
Pt 2.0047 1.1574 8.1671
```

* Fermi-level density of states: 19.2 states/eV/f.u.

***

Record 4
DFT (PBE-GGA) results for Co4Ni4Pt5 after structural relaxation.

The structure in extended XYZ format:
```
13
Lattice="-4.7691 4.7691 1.8567 4.7691 -4.7691 1.8567 4.7691 4.7691 -1.8567" Properties=species:S:1:pos:R:3 pbc="T T T"
Co 7.3006 1.5282 0.0000
Co 1.5282 2.2376 0.0000
Co 3.2409 2.5315 1.8567
Co -2.5315 3.2409 1.8567
Ni 3.6969 0.6957 0.0000
Ni 4.0734 -1.0722 1.8567
Ni 0.6957 5.8413 0.0000
Ni 1.0722 4.0734 1.8567
Pt 0.0000 0.0000 0.0000
Pt 5.1406 2.8064 0.0000
Pt 2.8064 4.3975 0.0000
Pt 1.9627 0.3715 1.8567
Pt -0.3715 1.9627 1.8567
```

* Fermi-level density of states: 13.7 states/eV/f.u.

***

Record 5
DFT (PBE-GGA) results for CoNi2Pt after structural relaxation.

The structure in extended XYZ format:
```
12
Lattice="2.6353 0.0000 0.0000 -1.3177 2.2823 0.0000 0.0000 0.0000 24.8205" Properties=species:S:1:pos:R:3 pbc="T T T"
Co 0.0000 0.0000 0.0000
Co 0.0000 1.5215 16.5470
Co 1.3177 0.7608 8.2735
Ni 0.0000 0.0000 6.3338
Ni 0.0000 0.0000 18.4867
Ni 0.0000 1.5215 10.2132
Ni 0.0000 1.5215 22.8808
Ni 1.3177 0.7608 1.9397
Ni 1.3177 0.7608 14.6073
Pt 0.0000 0.0000 12.4103
Pt 0.0000 1.5215 4.1368
Pt 1.3177 0.7608 20.6838
```

* Fermi-level density of states: 4.9 states/eV/f.u.

***

Record 6
DFT (PBE-GGA) results for Co23Ni6Pt after structural relaxation.

The structure in extended XYZ format:
```
30
Lattice="0.0000 5.5687 5.5687 5.5687 0.0000 5.5687 5.5687 5.5687 0.0000" Properties=species:S:1:pos:R:3 pbc="T T T"
Co 0.0000 0.0000 0.0000
Co 2.7844 2.7844 0.0000
Co 2.7844 0.0000 2.7844
Co 5.5687 2.7844 2.7844
Co 7.1270 4.0104 4.0104
Co 1.4376 1.4376 1.4376
Co 4.1311 4.1311 1.4376
Co 4.1311 1.4376 4.1311
Co 4.0104 4.0104 4.0104
Co 7.1270 7.1270 4.0104
Co 7.1270 4.0104 7.1270
Co 9.6998 7.0063 7.0063
Co 0.0000 2.7844 2.7844
Co 2.7844 5.5687 2.7844
Co 2.7844 2.7844 5.5687
Co 1.4376 4.1311 4.1311
Co 4.0104 7.1270 4.0104
Co 4.0104 4.0104 7.1270
Co 7.1270 7.1270 7.1270
Co 7.0063 9.6998 7.0063
Co 7.0063 7.0063 9.6998
Co 9.6998 9.6998 9.6998
Co 4.0104 7.1270 7.1270
Ni 5.5687 5.5687 2.8657
Ni 5.5687 2.8657 5.5687
Ni 8.2717 5.5687 5.5687
Ni 2.8657 5.5687 5.5687
Ni 5.5687 8.2717 5.5687
Ni 5.5687 5.5687 8.2717
Pt 5.5687 5.5687 5.5687
```

* Fermi-level density of states: 36.0 states/eV/f.u.

***

Record 7
DFT (PBE-GGA) results for Co2NiPt after structural relaxation.

The structure in extended XYZ format:
```
8
Lattice="4.1297 0.0000 0.0000 -2.0649 3.5765 0.0000 0.0000 0.0000 7.4145" Properties=species:S:1:pos:R:3 pbc="T T T"
Co 0.0000 2.3843 0.6757
Co 0.0000 2.3843 3.0315
Co 2.0649 1.1922 4.3830
Co 2.0649 1.1922 6.7388
Ni 0.0000 0.0000 1.8536
Ni 0.0000 0.0000 5.5609
Pt 0.0000 2.3843 5.5609
Pt 2.0649 1.1922 1.8536
```

* Fermi-level density of states: 5.5 states/eV/f.u.

***

Record 8
DFT (PBE-GGA) results for Co2Ni8Pt after structural relaxation.

The structure in extended XYZ format:
```
11
Lattice="6.4516 -1.7796 0.0000 6.4516 1.7796 0.0000 -1.4699 0.0000 5.4509" Properties=species:S:1:pos:R:3 pbc="T T T"
Co 2.7448 0.0000 0.7241
Co 8.6885 0.0000 4.7268
Ni 0.3125 0.0000 1.1992
Ni 0.8074 0.0000 3.7718
Ni 3.1964 0.0000 3.2182
Ni 5.1845 0.0000 0.2173
Ni 6.2488 0.0000 5.2336
Ni 8.2369 0.0000 2.2327
Ni 10.6258 0.0000 1.6791
Ni 11.1208 0.0000 4.2517
Pt 5.7166 0.0000 2.7255
```

* Fermi-level density of states: 14.1 states/eV/f.u.
* relative energy among the computed polymorphs: 0 meV/atom

***

Record 9
DFT (PBE-GGA) results for CoNi4Pt after structural relaxation.

The structure in extended XYZ format:
```
12
Lattice="-2.0438 8.1353 2.1368 2.0438 -8.1353 2.1368 2.0438 8.1353 -2.1368" Properties=species:S:1:pos:R:3 pbc="T T T"
Co 0.0000 4.0677 0.3040
Co 2.0438 4.0677 1.8328
Ni 2.0438 2.8267 -0.2863
Ni 0.0000 1.5839 0.2015
Ni 2.0438 5.3086 -0.2863
Ni 0.0000 6.5514 0.2015
Ni 2.0438 1.5839 1.9353
Ni 0.0000 2.8267 2.4231
Ni 2.0438 6.5514 1.9353
Ni 0.0000 5.3086 2.4231
Pt 2.0438 0.0000 0.0000
Pt 0.0000 0.0000 2.1368
```

* Fermi-level density of states: 8.4 states/eV/f.u.
* relative energy among the computed polymorphs: 0 meV/atom

***

Record 10
DFT (PBE-GGA) results for Co3Ni2Pt4 after structural relaxation.

The structure in extended XYZ format:
```
9
Lattice="4.1427 -1.8932 0.0000 4.1427 1.8932 0.0000 -2.2829 0.0000 7.6035" Properties=species:S:1:pos:R:3 pbc="T T T"
Co 0.0000 0.0000 0.0000
Co 1.7312 0.0000 3.4085
Co 4.2713 0.0000 4.1950
Ni 0.9687 0.0000 5.8637
Ni 5.0338 0.0000 1.7398
Pt -0.6832 0.0000 2.5488
Pt 2.5070 0.0000 0.8557
Pt 3.4955 0.0000 6.7478
Pt 6.6856 0.0000 5.0547
```

* Fermi-level density of states: 10.6 states/eV/f.u.

***

Record 11
DFT (PBE-GGA) results for Co6NiPt after structural relaxation.

The structure in extended XYZ format:
```
16
Lattice="8.0052 0.0000 0.0000 0.0000 3.5999 0.0000 -3.2250 0.0000 6.4471" Properties=species:S:1:pos:R:3 pbc="T T T"
Co 7.2280 0.0000 1.5466
Co -2.4479 0.0000 4.9005
Co 0.7803 1.8000 2.3434
Co 1.5813 0.0000 0.7596
Co -0.8038 1.8000 5.6875
Co -0.0028 0.0000 4.1037
Co 3.2254 1.8000 1.5466
Co 1.5547 1.8000 4.9005
Co 4.7829 0.0000 2.3434
Co 5.5839 1.8000 0.7596
Co 3.1988 0.0000 5.6875
Co 3.9998 1.8000 4.1037
Ni 0.0000 1.8000 0.0000
Ni 4.0026 0.0000 0.0000
Pt -1.6125 1.8000 3.2236
Pt 2.3901 0.0000 3.2236
```

* Fermi-level density of states: 9.0 states/eV/f.u.
* relative energy among the computed polymorphs: 3 meV/atom

***

Record 12
DFT (PBE-GGA) results for Co3Ni3Pt5 after structural relaxation.

The structure in extended XYZ format:
```
11
Lattice="8.2830 0.0000 0.0000 -4.1415 7.1733 0.0000 0.0000 0.0000 2.6568" Properties=species:S:1:pos:R:3 pbc="T T T"
Co -1.6460 2.8509 0.0000
Co 3.2920 0.0000 0.0000
Co 2.4955 4.3224 0.0000
Ni -0.6718 1.1635 1.3284
Ni 1.3435 0.0000 1.3284
Ni 3.4697 6.0098 1.3284
Pt -2.7244 4.7188 1.3284
Pt 0.0000 4.7822 1.3284
Pt 1.4171 2.4545 1.3284
Pt 5.4488 0.0000 1.3284
Pt 4.1415 2.3911 1.3284
```

* Fermi-level density of states: 13.1 states/eV/f.u.

***

| no. | E_tot (eV/atom) | ΔH_f (0 K) (eV/atom) |
| --- | --- | --- |
| 1 | -6.36 | 0.0941 |
| 2 | -6.05 | -0.0070 |
| 3 | -6.33 | 0.3651 |
| 4 | -6.35 | -0.0614 |
| 5 | -6.18 | -0.0030 |
| 6 | -6.65 | 0.1509 |
| 7 | -6.26 | 0.2464 |
| 8 | -6.07 | -0.0276 |
| 9 | -6.02 | 0.0259 |
| 10 | -6.43 | -0.0923 |
| 11 | -6.83 | -0.0208 |
| 12 | -5.98 | 0.2772 |